Computed, not measured: a relaxed structure of GaCoCuAs at the GGA-PBE level of DFT.

a b c (Å): 4.293 4.293 4.293
angles (deg): 60.00 60.00 60.00
Positions (direct):
Ga 0.000 0.000 0.000
Co 0.500 0.500 0.500
Cu 0.250 0.250 0.250
As 0.750 0.750 0.750

Output
As for the energy: -4.341 eV/atom.